Computed, not measured: crystalline CeNd3Sm3Se8 at its relaxed geometry at the PBE-GGA level of DFT.

Cell lengths 8.3847, 8.3847, 20.5444 Å; angles 90.00, 90.00, 120.00 degrees
Space group R-3m (No. 166, hexagonal axes)
Inequivalent atoms, fractional coordinates:
Ce 0.0000 0.0000 0.0000 x3
Nd 0.0000 0.5000 0.5000 x9
Sm 0.0000 0.5000 0.0000 x9
Se 0.0000 0.0000 0.2516 x6
Se 0.0072 0.5036 0.2500 x18

Formation energy without anion corrections = -1852 meV per atom



Computed, not measured: crystalline KCaIn3 at its relaxed geometry at the PBE-GGA level of DFT.

Cell lengths 6.0112, 6.0112, 6.0112 Å; angles 90.00, 90.00, 90.00 degrees
Space group Pm-3m (No. 221)
Inequivalent atoms, fractional coordinates:
K 0.0000 0.0000 0.0000 x1
Ca 0.5000 0.5000 0.5000 x1
In 0.0000 0.5000 0.5000 x3

ΔE_f = 261 meV/atom
ΔE to the lowest computed polymorph = 0.0 meV/atom



Computed, not measured: crystalline Rb8SeI3Br3 at its relaxed geometry at the PBE-GGA level of DFT.

Cell lengths 10.2046, 10.2046, 25.7378 Å; angles 90.00, 90.00, 120.00 degrees
Space group R-3m (No. 166, hexagonal axes)
Inequivalent atoms, fractional coordinates:
Rb 0.0000 0.0000 0.2445 x6
Rb 0.0272 0.5136 0.2379 x18
Se 0.0000 0.0000 0.5000 x3
I 0.0000 0.5000 0.0000 x9
Br 0.0000 0.5000 0.5000 x9

Formation energy without anion corrections = -1483 meV per atom